(1)
DFT (GGA-PBE) results for a relaxed Pm4Pr3Nd4 crystal.

Lattice parameters (Å, degrees): 11.238 11.238 11.238 161.34 118.27 65.10
Element x y z (fractional)
Pm (0.224, 0.224, 0.000)
Pm (0.286, 0.500, 0.786)
Pm (0.714, 0.500, 0.214)
Pm (0.776, 0.776, 0.000)
Pr (0.000, 0.000, 0.000)
Pr (0.396, 0.896, 0.500)
Pr (0.604, 0.104, 0.500)
Nd (0.069, 0.331, 0.738)
Nd (0.408, 0.669, 0.738)
Nd (0.592, 0.331, 0.262)
Nd (0.931, 0.669, 0.262)

Summary:
M_tot = 0.0 μB/f.u.
SG = Immm, No. 71
total DFT energy (no corrections) = -0.169 hartree per atom
energy of formation = 15 kJ per mole of atoms
relative energy among the computed polymorphs = 0.017 eV per atom

---

(2)
DFT (GGA-PBE) results for a relaxed PrDy2YHo5 crystal.

Lattice parameters (Å, degrees): 9.669 9.669 9.669 124.69 124.69 82.06
Element x y z (fractional)
Pr (0.250, 0.250, 0.000)
Pr (0.750, 0.750, 0.000)
Dy (0.112, 0.612, 0.724)
Dy (0.388, 0.112, 0.500)
Dy (0.612, 0.888, 0.500)
Dy (0.888, 0.388, 0.276)
Y (0.250, 0.750, 0.500)
Y (0.750, 0.250, 0.500)
Ho (0.000, 0.000, 0.000)
Ho (0.075, 0.164, 0.500)
Ho (0.164, 0.664, 0.089)
Ho (0.336, 0.425, 0.500)
Ho (0.425, 0.925, 0.089)
Ho (0.500, 0.500, 0.000)
Ho (0.575, 0.075, 0.911)
Ho (0.664, 0.575, 0.500)
Ho (0.836, 0.336, 0.911)
Ho (0.925, 0.836, 0.500)

Summary:
M_tot = 0.0 μB/f.u.
SG = I4/mcm, No. 140
total DFT energy (no corrections) = -0.166 hartree per atom
energy of formation = 28 kJ per mole of atoms

---

(3)
DFT (GGA-PBE) results for a relaxed Li4Cu crystal.

Lattice parameters (Å, degrees): 6.231 6.231 4.098 90.00 90.00 90.00
Element x y z (fractional)
Li (0.108, 0.290, 0.000)
Li (0.210, 0.608, 0.500)
Li (0.290, 0.892, 0.000)
Li (0.392, 0.210, 0.500)
Li (0.608, 0.790, 0.500)
Li (0.710, 0.108, 0.000)
Li (0.790, 0.392, 0.500)
Li (0.892, 0.710, 0.000)
Cu (0.000, 0.000, 0.500)
Cu (0.500, 0.500, 0.000)

Summary:
M_tot = 0.0 μB/f.u.
SG = I4/m, No. 87
total DFT energy (no corrections) = -0.086 hartree per atom
energy of formation = 1 kJ per mole of atoms
relative energy among the computed polymorphs = 0.005 eV per atom

---

(4)
DFT (GGA-PBE) results for a relaxed Tc2MoIr crystal.

Lattice parameters (Å, degrees): 9.129 2.749 4.811 90.00 99.52 90.00
Element x y z (fractional)
Tc (0.246, 0.000, 0.243)
Tc (0.254, 0.500, 0.757)
Tc (0.746, 0.500, 0.243)
Tc (0.754, 0.000, 0.757)
Mo (0.000, 0.000, 0.500)
Mo (0.500, 0.500, 0.500)
Ir (0.000, 0.500, 0.000)
Ir (0.500, 0.000, 0.000)

Summary:
M_tot = 0.0 μB/f.u.
SG = C2/m, No. 12
total DFT energy (no corrections) = -0.373 hartree per atom
energy of formation = -4 kJ per mole of atoms
relative energy among the computed polymorphs = 0.097 eV per atom

---

(5)
DFT (GGA-PBE) results for a relaxed Pm5Y5Tm2 crystal.

Lattice parameters (Å, degrees): 5.217 6.055 14.488 78.03 89.98 64.49
Element x y z (fractional)
Pm (0.000, 0.000, 0.000)
Pm (0.223, 0.553, 0.578)
Pm (0.337, 0.326, 0.830)
Pm (0.663, 0.674, 0.170)
Pm (0.777, 0.447, 0.422)
Y (0.042, 0.917, 0.304)
Y (0.328, 0.344, 0.067)
Y (0.500, 0.000, 0.500)
Y (0.672, 0.656, 0.933)
Y (0.958, 0.083, 0.696)
Tm (0.344, 0.312, 0.289)
Tm (0.656, 0.688, 0.711)

Summary:
M_tot = 0.0 μB/f.u.
SG = P-1, No. 2
total DFT energy (no corrections) = -0.193 hartree per atom
energy of formation = 16 kJ per mole of atoms
relative energy among the computed polymorphs = 0.145 eV per atom

---

(6)
DFT (GGA-PBE) results for a relaxed Nd12TlSn3 crystal.

Lattice parameters (Å, degrees): 4.968 4.968 19.824 90.00 90.00 90.00
Element x y z (fractional)
Nd (0.000, 0.000, 0.000)
Nd (0.000, 0.000, 0.248)
Nd (0.000, 0.000, 0.500)
Nd (0.000, 0.000, 0.752)
Nd (0.000, 0.500, 0.124)
Nd (0.000, 0.500, 0.372)
Nd (0.000, 0.500, 0.628)
Nd (0.000, 0.500, 0.876)
Nd (0.500, 0.000, 0.124)
Nd (0.500, 0.000, 0.372)
Nd (0.500, 0.000, 0.628)
Nd (0.500, 0.000, 0.876)
Tl (0.500, 0.500, 0.500)
Sn (0.500, 0.500, 0.000)
Sn (0.500, 0.500, 0.250)
Sn (0.500, 0.500, 0.750)

Summary:
M_tot = 0.0 μB/f.u.
SG = P4/mmm, No. 123
total DFT energy (no corrections) = -0.179 hartree per atom
energy of formation = -38 kJ per mole of atoms

---

(7)
DFT (GGA-PBE) results for a relaxed NaSr2CdIn crystal.

Lattice parameters (Å, degrees): 6.425 6.425 5.743 90.00 90.00 90.00
Element x y z (fractional)
Na (0.000, 0.000, 0.000)
Sr (0.000, 0.500, 0.500)
Sr (0.500, 0.000, 0.500)
Cd (0.500, 0.500, 0.000)
In (0.000, 0.000, 0.500)

Summary:
M_tot = 0.0 μB/f.u.
SG = P4/mmm, No. 123
total DFT energy (no corrections) = -0.058 hartree per atom
energy of formation = 7 kJ per mole of atoms

---

(8)
DFT (GGA-PBE) results for a relaxed BaAsOs2 crystal.

Lattice parameters (Å, degrees): 3.025 5.440 9.735 90.00 90.00 90.00
Element x y z (fractional)
Ba (0.000, 0.000, 0.000)
Ba (0.500, 0.500, 0.500)
As (0.000, 0.000, 0.500)
As (0.500, 0.500, 0.000)
Os (0.000, 0.500, 0.207)
Os (0.000, 0.500, 0.793)
Os (0.500, 0.000, 0.293)
Os (0.500, 0.000, 0.707)

Summary:
M_tot = 0.0 μB/f.u.
SG = Immm, No. 71
total DFT energy (no corrections) = -0.232 hartree per atom
energy of formation = 91 kJ per mole of atoms

---

(9)
DFT (GGA-PBE) results for a relaxed Ag2Pd2F crystal.

Lattice parameters (Å, degrees): 6.164 6.164 4.465 90.00 90.00 90.00
Element x y z (fractional)
Ag (0.154, 0.346, 0.000)
Ag (0.346, 0.846, 0.000)
Ag (0.654, 0.154, 0.000)
Ag (0.846, 0.654, 0.000)
Pd (0.155, 0.655, 0.500)
Pd (0.345, 0.155, 0.500)
Pd (0.655, 0.845, 0.500)
Pd (0.845, 0.345, 0.500)
F (0.000, 0.000, 0.000)
F (0.500, 0.500, 0.000)

Summary:
M_tot = 0.6 μB/f.u.
SG = P4/mbm, No. 127
total DFT energy (no corrections) = -0.132 hartree per atom
relative energy among the computed polymorphs = 0.007 eV per atom
formation energy without anion corrections = -5 meV/atom

---

(10)
DFT (GGA-PBE) results for a relaxed NpScTe2 crystal.

Lattice parameters (Å, degrees): 4.098 4.098 22.791 90.00 90.00 120.00
Element x y z (fractional)
Np (0.000, 0.000, 0.000)
Np (0.333, 0.667, 0.667)
Np (0.667, 0.333, 0.333)
Sc (0.000, 0.000, 0.170)
Sc (0.333, 0.667, 0.837)
Sc (0.667, 0.333, 0.504)
Te (0.000, 0.000, 0.578)
Te (0.000, 0.000, 0.759)
Te (0.333, 0.667, 0.244)
Te (0.333, 0.667, 0.426)
Te (0.667, 0.333, 0.092)
Te (0.667, 0.333, 0.911)

Summary:
M_tot = 4.8 μB/f.u.
SG = R3m, No. 160
total DFT energy (no corrections) = -0.265 hartree per atom
relative energy among the computed polymorphs = 0.000 eV per atom
formation energy without anion corrections = -829 meV/atom

---

(11)
DFT (GGA-PBE) results for a relaxed AsRu2Au crystal.

Lattice parameters (Å, degrees): 2.813 4.834 9.789 90.00 90.00 90.00
Element x y z (fractional)
As (0.000, 0.000, 0.000)
As (0.500, 0.500, 0.000)
Ru (0.000, 0.000, 0.443)
Ru (0.000, 0.500, 0.222)
Ru (0.500, 0.000, 0.222)
Ru (0.500, 0.500, 0.443)
Au (0.000, 0.500, 0.699)
Au (0.500, 0.000, 0.699)

Summary:
M_tot = 0.9 μB/f.u.
SG = Cmm2, No. 35
total DFT energy (no corrections) = -0.228 hartree per atom
energy of formation = 40 kJ per mole of atoms

---

(12)
DFT (GGA-PBE) results for a relaxed Mg2Al3Ir2 crystal.

Lattice parameters (Å, degrees): 9.638 3.885 7.023 90.00 112.95 90.00
Element x y z (fractional)
Mg (0.151, 0.000, 0.302)
Mg (0.349, 0.500, 0.698)
Mg (0.651, 0.500, 0.302)
Mg (0.849, 0.000, 0.698)
Al (0.000, 0.500, 0.500)
Al (0.138, 0.500, 0.947)
Al (0.362, 0.000, 0.053)
Al (0.500, 0.000, 0.500)
Al (0.638, 0.000, 0.947)
Al (0.862, 0.500, 0.053)
Ir (0.138, 0.000, 0.710)
Ir (0.362, 0.500, 0.290)
Ir (0.638, 0.500, 0.710)
Ir (0.862, 0.000, 0.290)

Summary:
M_tot = 0.0 μB/f.u.
SG = C2/m, No. 12
total DFT energy (no corrections) = -0.191 hartree per atom
energy of formation = -58 kJ per mole of atoms

---

(13)
DFT (GGA-PBE) results for a relaxed CuMo6Se8 crystal.

Lattice parameters (Å, degrees): 6.769 6.769 6.769 93.43 93.43 93.43
Element x y z (fractional)
Cu (0.000, 0.000, 0.000)
Mo (0.227, 0.414, 0.545)
Mo (0.414, 0.545, 0.227)
Mo (0.455, 0.773, 0.586)
Mo (0.545, 0.227, 0.414)
Mo (0.586, 0.455, 0.773)
Mo (0.773, 0.586, 0.455)
Se (0.130, 0.735, 0.373)
Se (0.211, 0.211, 0.211)
Se (0.265, 0.627, 0.870)
Se (0.373, 0.130, 0.735)
Se (0.627, 0.870, 0.265)
Se (0.735, 0.373, 0.130)
Se (0.789, 0.789, 0.789)
Se (0.870, 0.265, 0.627)

Summary:
M_tot = 0.0 μB/f.u.
SG = R-3, No. 148
total DFT energy (no corrections) = -0.254 hartree per atom
formation energy without anion corrections = -457 meV/atom

---

(14)
DFT (GGA-PBE) results for a relaxed TcNiH2 crystal.

Lattice parameters (Å, degrees): 4.006 4.006 7.966 90.00 90.00 90.00
Element x y z (fractional)
Tc (0.000, 0.000, 0.000)
Tc (0.000, 0.500, 0.250)
Tc (0.500, 0.000, 0.750)
Tc (0.500, 0.500, 0.500)
Ni (0.000, 0.000, 0.500)
Ni (0.000, 0.500, 0.750)
Ni (0.500, 0.000, 0.250)
Ni (0.500, 0.500, 0.000)
H (0.208, 0.250, 0.625)
H (0.250, 0.708, 0.875)
H (0.250, 0.792, 0.375)
H (0.292, 0.250, 0.125)
H (0.708, 0.750, 0.125)
H (0.750, 0.208, 0.375)
H (0.750, 0.292, 0.875)
H (0.792, 0.750, 0.625)

Summary:
M_tot = 0.0 μB/f.u.
SG = I-42d, No. 122
total DFT energy (no corrections) = -0.205 hartree per atom
relative energy among the computed polymorphs = 0.000 eV per atom